[1]
A relaxed Nd6C2N crystal. Source: Alexandria, functional PBE-GGA.

Structure (POSCAR):
```
Nd6C2N
1.0
8.497 -1.841 0.000
8.497 1.841 0.000
-2.399 0.000 7.355
Nd C N
6 2 1
direct
0.008 0.008 0.230
0.325 0.325 0.433
0.344 0.344 0.902
0.656 0.656 0.098
0.675 0.675 0.567
0.992 0.992 0.770
0.165 0.165 0.330
0.835 0.835 0.670
0.500 0.500 0.000
```

Summary:
- raw formation energy (kJ per mole of atoms) = -35.30
- SG = C2/m

***

[2]
A relaxed CaGaBi2 crystal. Source: Alexandria, functional PBE-GGA.

Structure (POSCAR):
```
CaGaBi2
1.0
4.874 0.000 0.000
0.000 4.874 0.000
0.000 0.000 4.786
Ca Ga Bi
1 1 2
direct
0.000 0.000 0.000
0.500 0.500 0.000
0.000 0.500 0.500
0.500 0.000 0.500
```

Summary:
- energy relative to the elements (eV/atom) = -0.38
- SG = P4/mmm

***

[3]
A relaxed MgTaAu crystal. Source: Alexandria, functional PBE-GGA.

Structure (POSCAR):
```
MgTaAu
1.0
4.440 0.000 0.000
0.000 3.392 0.000
-1.577 0.000 7.256
Mg Ta Au
2 2 2
direct
0.139 0.250 0.171
0.861 0.750 0.829
0.257 0.750 0.519
0.743 0.250 0.481
0.362 0.250 0.830
0.638 0.750 0.170
```

Summary:
- polymorph energy (0 for the lowest one) (meV/atom) = 26
- energy relative to the elements (eV/atom) = -0.17
- SG = P2_1/m

***

[4]
A relaxed Tb6HoTl2 crystal. Source: Alexandria, functional PBE-GGA.

Structure (POSCAR):
```
Tb6HoTl2
1.0
6.419 -1.874 0.000
6.419 1.874 0.000
-3.690 0.000 11.357
Tb Ho Tl
6 1 2
direct
0.014 0.014 0.345
0.309 0.309 0.414
0.315 0.315 0.124
0.685 0.685 0.876
0.691 0.691 0.586
0.986 0.986 0.655
0.000 0.000 0.000
0.362 0.362 0.797
0.638 0.638 0.203
```

Summary:
- energy relative to the elements (eV/atom) = -0.15
- SG = C2/m

***

[5]
A relaxed Te2MoCl crystal. Source: Alexandria, functional PBE-GGA.

Structure (POSCAR):
```
Te2MoCl
1.0
3.330 0.000 0.000
0.000 3.330 0.000
0.000 0.000 8.108
Te Mo Cl
2 1 1
direct
0.000 0.000 0.204
0.000 0.000 0.796
0.500 0.500 0.000
0.500 0.500 0.500
```

Summary:
- raw formation energy (kJ per mole of atoms) = -6.75
- polymorph energy (0 for the lowest one) (meV/atom) = 96
- SG = P4/mmm

***

[6]
A relaxed Ac2Cu2Rh3 crystal. Source: Alexandria, functional PBE-GGA.

Structure (POSCAR):
```
Ac2Cu2Rh3
1.0
10.743 0.000 0.000
0.000 4.094 0.000
-2.530 0.000 6.506
Ac Cu Rh
4 4 6
direct
0.126 0.000 0.256
0.374 0.500 0.744
0.626 0.500 0.256
0.874 0.000 0.744
0.140 0.000 0.710
0.360 0.500 0.290
0.640 0.500 0.710
0.860 0.000 0.290
0.000 0.500 0.500
0.152 0.500 0.940
0.348 0.000 0.060
0.500 0.000 0.500
0.652 0.000 0.940
0.848 0.500 0.060
```

Summary:
- energy relative to the elements (eV/atom) = -0.32
- SG = C2/m

***

[7]
A relaxed Al2SbMo crystal. Source: Alexandria, functional PBE-GGA.

Structure (POSCAR):
```
Al2SbMo
1.0
4.454 0.000 0.000
0.000 4.454 0.000
0.000 0.000 3.512
Al Sb Mo
2 1 1
direct
0.000 0.500 0.000
0.500 0.000 0.000
0.000 0.000 0.500
0.500 0.500 0.500
```

Summary:
- raw formation energy (kJ per mole of atoms) = 20.64
- SG = P4/mmm

***

[8]
A relaxed Sc3TcSn3Ru2 crystal. Source: Alexandria, functional PBE-GGA.

Structure (POSCAR):
```
Sc3TcSn3Ru2
1.0
7.626 0.000 0.000
-3.813 6.604 0.000
0.000 0.000 3.398
Sc Tc Sn Ru
3 1 3 2
direct
0.000 0.389 0.000
0.389 0.000 0.000
0.611 0.611 0.000
0.000 0.000 0.000
0.000 0.719 0.500
0.281 0.281 0.500
0.719 0.000 0.500
0.333 0.667 0.500
0.667 0.333 0.500
```

Summary:
- energy relative to the elements (eV/atom) = -0.46
- SG = P-62m

***

[9]
A relaxed Hf2ScIn crystal. Source: Alexandria, functional PBE-GGA.

Structure (POSCAR):
```
Hf2ScIn
1.0
3.231 0.000 0.000
-1.616 2.798 0.000
0.000 0.000 30.364
Hf Sc In
6 3 3
direct
0.000 0.000 0.000
0.000 0.000 0.165
0.333 0.667 0.667
0.333 0.667 0.832
0.667 0.333 0.333
0.667 0.333 0.498
0.000 0.000 0.415
0.333 0.667 0.082
0.667 0.333 0.749
0.000 0.000 0.582
0.333 0.667 0.249
0.667 0.333 0.916
```

Summary:
- energy relative to the elements (eV/atom) = -0.02
- SG = R3m

***

[10]
A relaxed EuAgGeAu crystal. Source: Alexandria, functional PBE-GGA.

Structure (POSCAR):
```
EuAgGeAu
1.0
7.040 0.000 0.000
0.000 7.040 0.000
0.000 0.000 7.040
Eu Ag Ge Au
4 4 4 4
direct
0.000 0.000 0.000
0.000 0.500 0.500
0.500 0.000 0.500
0.500 0.500 0.000
0.250 0.250 0.750
0.250 0.750 0.250
0.750 0.250 0.250
0.750 0.750 0.750
0.000 0.000 0.500
0.000 0.500 0.000
0.500 0.000 0.000
0.500 0.500 0.500
0.250 0.250 0.250
0.250 0.750 0.750
0.750 0.250 0.750
0.750 0.750 0.250
```

Summary:
- energy relative to the elements (eV/atom) = -0.32
- SG = F-43m

***

[11]
A relaxed Si2GePt3 crystal. Source: Alexandria, functional PBE-GGA.

Structure (POSCAR):
```
Si2GePt3
1.0
6.057 0.000 0.000
0.000 3.491 0.000
-1.768 0.000 8.972
Si Ge Pt
4 2 6
direct
0.006 0.250 0.213
0.200 0.750 0.464
0.800 0.250 0.536
0.994 0.750 0.787
0.452 0.750 0.124
0.548 0.250 0.876
0.181 0.250 0.992
0.192 0.250 0.672
0.405 0.250 0.350
0.595 0.750 0.650
0.808 0.750 0.328
0.819 0.750 0.008
```

Summary:
- raw formation energy (kJ per mole of atoms) = -53.28
- SG = P2_1/m

***

[12]
A relaxed SrMnInI5 crystal. Source: Alexandria, functional PBE-GGA.

Structure (POSCAR):
```
SrMnInI5
1.0
5.236 -6.833 0.000
5.236 6.833 0.000
-4.815 0.000 10.585
Sr Mn In I
2 2 2 10
direct
0.000 0.000 0.000
0.000 0.000 0.500
0.319 0.681 0.750
0.681 0.319 0.250
0.353 0.647 0.250
0.647 0.353 0.750
0.070 0.653 0.854
0.103 0.897 0.250
0.270 0.394 0.562
0.347 0.930 0.646
0.394 0.270 0.062
0.606 0.730 0.938
0.653 0.070 0.354
0.730 0.606 0.438
0.897 0.103 0.750
0.930 0.347 0.146
```

Summary:
- raw formation energy (kJ per mole of atoms) = -85.87
- SG = C2/c

***

[13]
A relaxed Zn24In5 crystal. Source: Alexandria, functional PBE-GGA.

Structure (POSCAR):
```
Zn24In5
1.0
-5.026 5.026 5.026
5.026 -5.026 5.026
5.026 5.026 -5.026
Zn In
24 5
direct
0.000 0.189 0.398
0.000 0.398 0.189
0.000 0.425 0.676
0.000 0.676 0.425
0.189 0.000 0.398
0.189 0.398 0.000
0.209 0.811 0.811
0.251 0.575 0.575
0.324 0.324 0.749
0.324 0.749 0.324
0.398 0.000 0.189
0.398 0.189 0.000
0.425 0.000 0.676
0.425 0.676 0.000
0.575 0.251 0.575
0.575 0.575 0.251
0.602 0.602 0.791
0.602 0.791 0.602
0.676 0.000 0.425
0.676 0.425 0.000
0.749 0.324 0.324
0.791 0.602 0.602
0.811 0.209 0.811
0.811 0.811 0.209
0.000 0.000 0.000
0.000 0.000 0.640
0.000 0.640 0.000
0.360 0.360 0.360
0.640 0.000 0.000
```

Summary:
- energy relative to the elements (eV/atom) = 0.09
- SG = I-43m

***

[14]
A relaxed LiHfH2 crystal. Source: Alexandria, functional PBE-GGA.

Structure (POSCAR):
```
LiHfH2
1.0
5.247 0.000 0.000
0.000 5.247 0.000
0.000 0.000 5.247
Li Hf H
4 4 8
direct
0.000 0.000 0.000
0.000 0.500 0.500
0.500 0.000 0.500
0.500 0.500 0.000
0.000 0.000 0.500
0.000 0.500 0.000
0.500 0.000 0.000
0.500 0.500 0.500
0.250 0.250 0.250
0.250 0.250 0.750
0.250 0.750 0.250
0.250 0.750 0.750
0.750 0.250 0.250
0.750 0.250 0.750
0.750 0.750 0.250
0.750 0.750 0.750
```

Summary:
- polymorph energy (0 for the lowest one) (meV/atom) = 303
- SG = Fm-3m

***

[15]
A relaxed NdGa2TeO8 crystal. Source: Alexandria, functional PBE-GGA.

Structure (POSCAR):
```
NdGa2TeO8
1.0
4.539 0.000 0.000
0.137 4.694 0.000
0.089 0.551 7.114
Nd Ga Te O
1 2 1 8
direct
0.000 0.000 0.000
0.473 0.467 0.704
0.527 0.533 0.296
0.000 0.000 0.500
0.186 0.783 0.716
0.187 0.807 0.299
0.308 0.290 0.491
0.408 0.305 0.949
0.592 0.695 0.051
0.692 0.710 0.509
0.813 0.193 0.701
0.814 0.217 0.284
```

Summary:
- raw formation energy (kJ per mole of atoms) = -160.46
- SG = P-1

***

[16]
A relaxed Mg2In3Ag4 crystal. Source: Alexandria, functional PBE-GGA.

Structure (POSCAR):
```
Mg2In3Ag4
1.0
4.556 0.000 0.000
2.117 4.486 0.000
0.594 1.452 8.961
Mg In Ag
2 3 4
direct
0.155 0.169 0.214
0.845 0.831 0.786
0.178 0.169 0.571
0.500 0.500 0.000
0.822 0.831 0.429
0.175 0.167 0.891
0.486 0.496 0.326
0.514 0.504 0.674
0.825 0.833 0.109
```

Summary:
- energy relative to the elements (eV/atom) = -0.08
- SG = P-1

***

[17]
A relaxed Li2TmHfO4 crystal. Source: Alexandria, functional PBE-GGA.

Structure (POSCAR):
```
Li2TmHfO4
1.0
4.373 0.000 0.000
0.000 4.373 0.000
0.000 0.000 9.242
Li Tm Hf O
4 2 2 8
direct
0.000 0.000 0.000
0.000 0.500 0.250
0.500 0.000 0.750
0.500 0.500 0.500
0.000 0.000 0.500
0.500 0.500 0.000
0.000 0.500 0.750
0.500 0.000 0.250
0.000 0.000 0.250
0.000 0.000 0.750
0.000 0.500 0.513
0.000 0.500 0.987
0.500 0.000 0.013
0.500 0.000 0.487
0.500 0.500 0.250
0.500 0.500 0.750
```

Summary:
- raw formation energy (kJ per mole of atoms) = -265.39
- SG = I-4m2

***

[18]
A relaxed OsSF2 crystal. Source: Alexandria, functional PBE-GGA.

Structure (POSCAR):
```
OsSF2
1.0
5.872 0.000 0.000
0.000 5.872 0.000
0.000 0.000 5.872
Os S F
4 4 8
direct
0.000 0.000 0.000
0.000 0.500 0.500
0.500 0.000 0.500
0.500 0.500 0.000
0.000 0.000 0.500
0.000 0.500 0.000
0.500 0.000 0.000
0.500 0.500 0.500
0.250 0.250 0.250
0.250 0.250 0.750
0.250 0.750 0.250
0.250 0.750 0.750
0.750 0.250 0.250
0.750 0.250 0.750
0.750 0.750 0.250
0.750 0.750 0.750
```

Summary:
- raw formation energy (kJ per mole of atoms) = 52.84
- polymorph energy (0 for the lowest one) (meV/atom) = 1069
- SG = Fm-3m

***

[19]
A relaxed Ta2NbRe crystal. Source: Alexandria, functional PBE-GGA.

Structure (POSCAR):
```
Ta2NbRe
1.0
4.591 0.000 0.000
0.000 4.591 0.000
0.000 0.000 3.250
Ta Nb Re
2 1 1
direct
0.000 0.500 0.000
0.500 0.000 0.000
0.000 0.000 0.500
0.500 0.500 0.500
```

Summary:
- energy relative to the elements (eV/atom) = -0.24
- SG = P4/mmm

***

[20]
A relaxed Na3Sb4Pb2 crystal. Source: Alexandria, functional PBE-GGA.

Structure (POSCAR):
```
Na3Sb4Pb2
1.0
7.437 -5.653 0.000
7.437 5.653 0.000
-0.114 0.000 6.625
Na Sb Pb
6 8 4
direct
0.093 0.907 0.750
0.205 0.501 0.605
0.499 0.795 0.895
0.501 0.205 0.105
0.795 0.499 0.395
0.907 0.093 0.250
0.008 0.712 0.236
0.288 0.992 0.264
0.316 0.576 0.065
0.424 0.684 0.435
0.576 0.316 0.565
0.684 0.424 0.935
0.712 0.008 0.736
0.992 0.288 0.764
0.129 0.348 0.167
0.348 0.129 0.667
0.652 0.871 0.333
0.871 0.652 0.833
```

Summary:
- raw formation energy (kJ per mole of atoms) = -12.53
- SG = C2/c

***

no.,calculated density (Mg/m³)
1,6.52
2,7.71
3,12.22
4,9.28
5,7.14
6,10.33
7,6.48
8,7.68
9,9.38
10,10.08
11,12.50
12,3.91
13,7.01
14,8.62
15,5.91
16,7.48
17,7.99
18,8.54
19,15.54
20,5.79